Arrangement a

{"formula": "YPd2F", "functional": "PBE-GGA", "state": "optimized geometry", "lattice_angstrom": [[7.879, 0.000, 0.000], [0.000, 7.879, 0.000], [3.939, 3.939, 2.364]], "species": ["Y", "Y", "Pd", "Pd", "Pd", "Pd", "F", "F"], "fractional_positions": [[0.000, 0.000, 0.000], [0.750, 0.250, 0.500], [0.568, 0.125, 0.250], [0.182, 0.625, 0.250], [0.375, 0.432, 0.750], [0.875, 0.818, 0.750], [0.500, 0.500, 0.000], [0.250, 0.750, 0.500]]}


Arrangement b

{"formula": "YPd2F", "functional": "PBE-GGA", "state": "optimized geometry", "lattice_angstrom": [[0.000, 3.281, 3.281], [3.281, 0.000, 3.281], [3.281, 3.281, 0.000]], "species": ["Y", "Pd", "Pd", "F"], "fractional_positions": [[0.500, 0.500, 0.500], [0.250, 0.250, 0.250], [0.750, 0.750, 0.750], [0.000, 0.000, 0.000]]}


Relative stability in meV per atom, measured from the most stable structure: arrangement a 0; arrangement b 326


Arrangement a

{"formula": "ZnPd2F", "functional": "PBE-GGA", "state": "optimized geometry", "lattice_angstrom": [[0.000, 3.033, 3.033], [3.033, 0.000, 3.033], [3.033, 3.033, 0.000]], "species": ["Zn", "Pd", "Pd", "F"], "fractional_positions": [[0.500, 0.500, 0.500], [0.250, 0.250, 0.250], [0.750, 0.750, 0.750], [0.000, 0.000, 0.000]]}


Arrangement b

{"formula": "ZnPd2F", "functional": "PBE-GGA", "state": "optimized geometry", "lattice_angstrom": [[6.624, 0.000, 0.000], [0.000, 6.624, 0.000], [3.312, 3.312, 2.735]], "species": ["Zn", "Zn", "Pd", "Pd", "Pd", "Pd", "F", "F"], "fractional_positions": [[0.000, 0.000, 0.000], [0.750, 0.250, 0.500], [0.605, 0.125, 0.250], [0.145, 0.625, 0.250], [0.375, 0.395, 0.750], [0.875, 0.855, 0.750], [0.500, 0.500, 0.000], [0.250, 0.750, 0.500]]}


Relative stability in meV per atom, measured from the most stable structure: arrangement a 0; arrangement b 68


Arrangement a

{"formula": "ZrPdF3", "functional": "PBE-GGA", "state": "optimized geometry", "lattice_angstrom": [[4.326, 0.000, 0.000], [0.000, 4.326, 0.000], [0.000, 0.000, 4.326]], "species": ["Zr", "Pd", "F", "F", "F"], "fractional_positions": [[0.500, 0.500, 0.500], [0.000, 0.000, 0.000], [0.000, 0.500, 0.000], [0.000, 0.000, 0.500], [0.500, 0.000, 0.000]]}


Arrangement b

{"formula": "ZrPdF3", "functional": "PBE-GGA", "state": "optimized geometry", "lattice_angstrom": [[4.260, 0.000, 0.000], [0.000, 4.260, 0.000], [0.000, 0.000, 4.260]], "species": ["Zr", "Pd", "F", "F", "F"], "fractional_positions": [[0.000, 0.000, 0.000], [0.500, 0.500, 0.500], [0.000, 0.500, 0.000], [0.000, 0.000, 0.500], [0.500, 0.000, 0.000]]}


Relative stability in meV per atom, measured from the most stable structure: arrangement a 1218; arrangement b 0


Arrangement a

{"formula": "ZrPdF2", "functional": "PBE-GGA", "state": "optimized geometry", "lattice_angstrom": [[-1.808, 1.981, 7.888], [-0.878, -0.701, 8.255], [0.995, 1.460, 8.142]], "species": ["Zr", "Pd", "F", "F"], "fractional_positions": [[0.500, 0.500, 0.500], [0.000, 0.000, 0.000], [0.896, 0.896, 0.896], [0.104, 0.104, 0.104]]}


Arrangement b

{"formula": "ZrPdF2", "functional": "PBE-GGA", "state": "optimized geometry", "lattice_angstrom": [[-1.340, 3.530, -1.158], [0.634, -0.996, -3.769], [-7.231, -1.484, -2.894]], "species": ["Zr", "Zr", "Pd", "Pd", "F", "F", "F", "F"], "fractional_positions": [[0.500, 0.500, 0.000], [0.250, 0.750, 0.500], [0.000, 0.000, 0.000], [0.750, 0.250, 0.500], [0.534, 0.125, 0.250], [0.216, 0.625, 0.250], [0.375, 0.466, 0.750], [0.875, 0.784, 0.750]]}


Relative stability in meV per atom, measured from the most stable structure: arrangement a 56; arrangement b 0